# 1
Compound: YWN2
Source: Alexandria
Functional: PBE
Structure: relaxed

Properties
Formation energy without anion corrections   -0.02 eV/atom
Relative energy among the computed polymorphs   677 meV per atom
Mass density   10.92 g/cm3
E_tot   -9.034 eV per atom

```
data_YWN2
_chemical_formula_sum 'Y4 W4 N8'
_symmetry_space_group_name_H-M 'F m -3 m'
_symmetry_Int_Tables_number 225
_symmetry_space_group_name_Hall '-F 4 2 3'
_cell_length_a 5.6768
_cell_length_b 5.6768
_cell_length_c 5.6768
_cell_angle_alpha 90.00
_cell_angle_beta 90.00
_cell_angle_gamma 90.00
loop_
_atom_site_label
_atom_site_type_symbol
_atom_site_fract_x
_atom_site_fract_y
_atom_site_fract_z
_atom_site_occupancy
Y1 Y 0.0000 0.0000 0.0000 1
W1 W 0.0000 0.0000 0.5000 1
N1 N 0.2500 0.2500 0.2500 1
```



# 2
Compound: YWN2
Source: Alexandria
Functional: PBE
Structure: relaxed

Properties
Formation energy without anion corrections   -0.20 eV/atom
Relative energy among the computed polymorphs   497 meV per atom
Mass density   11.09 g/cm3
E_tot   -9.214 eV per atom

```
data_YWN2
_chemical_formula_sum 'Y1 W1 N2'
_symmetry_space_group_name_H-M 'P 4/m m m'
_symmetry_Int_Tables_number 123
_symmetry_space_group_name_Hall '-P 4 2'
_cell_length_a 2.7875
_cell_length_b 2.7875
_cell_length_c 5.7935
_cell_angle_alpha 90.00
_cell_angle_beta 90.00
_cell_angle_gamma 90.00
loop_
_atom_site_label
_atom_site_type_symbol
_atom_site_fract_x
_atom_site_fract_y
_atom_site_fract_z
_atom_site_occupancy
Y1 Y 0.0000 0.0000 0.0000 1
W1 W 0.0000 0.0000 0.5000 1
N1 N 0.5000 0.5000 0.2859 1
```



# 3
Compound: YWN2
Source: Alexandria
Functional: PBE
Structure: relaxed

Properties
Formation energy without anion corrections   -0.49 eV/atom
Relative energy among the computed polymorphs   206 meV per atom
Mass density   7.83 g/cm3
E_tot   -9.505 eV per atom

```
data_YWN2
_chemical_formula_sum 'Y3 W3 N6'
_symmetry_space_group_name_H-M 'R -3 m'
_symmetry_Int_Tables_number 166
_symmetry_space_group_name_Hall '-R 3 2"'
_cell_length_a 3.4390
_cell_length_b 3.4390
_cell_length_c 18.6739
_cell_angle_alpha 90.00
_cell_angle_beta 90.00
_cell_angle_gamma 120.00
loop_
_atom_site_label
_atom_site_type_symbol
_atom_site_fract_x
_atom_site_fract_y
_atom_site_fract_z
_atom_site_occupancy
Y1 Y 0.0000 0.0000 0.0000 1
W1 W 0.0000 0.0000 0.5000 1
N1 N 0.0000 0.0000 0.3989 1
```



# 4
Compound: YZnWN2
Source: Alexandria
Functional: PBE
Structure: relaxed

Properties
Formation energy without anion corrections   2.12 eV/atom
Mass density   7.55 g/cm3
E_tot   -5.352 eV per atom

```
data_YZnWN2
_chemical_formula_sum 'Y1 Zn1 W1 N2'
_symmetry_space_group_name_H-M 'P 4/m m m'
_symmetry_Int_Tables_number 123
_symmetry_space_group_name_Hall '-P 4 2'
_cell_length_a 4.0088
_cell_length_b 4.0088
_cell_length_c 5.0106
_cell_angle_alpha 90.00
_cell_angle_beta 90.00
_cell_angle_gamma 90.00
loop_
_atom_site_label
_atom_site_type_symbol
_atom_site_fract_x
_atom_site_fract_y
_atom_site_fract_z
_atom_site_occupancy
Y1 Y 0.0000 0.0000 0.0000 1
Zn1 Zn 0.0000 0.0000 0.5000 1
W1 W 0.5000 0.5000 0.0000 1
N1 N 0.0000 0.5000 0.5000 1
```



# 5
Compound: ZnWN2
Source: Alexandria
Functional: PBE
Structure: relaxed

Properties
Formation energy without anion corrections   -0.07 eV/atom
Mass density   9.55 g/cm3
E_tot   -7.790 eV per atom

```
data_ZnWN2
_chemical_formula_sum 'Zn3 W3 N6'
_symmetry_space_group_name_H-M 'R -3 m'
_symmetry_Int_Tables_number 166
_symmetry_space_group_name_Hall '-R 3 2"'
_cell_length_a 2.9820
_cell_length_b 2.9820
_cell_length_c 18.7755
_cell_angle_alpha 90.00
_cell_angle_beta 90.00
_cell_angle_gamma 120.00
loop_
_atom_site_label
_atom_site_type_symbol
_atom_site_fract_x
_atom_site_fract_y
_atom_site_fract_z
_atom_site_occupancy
Zn1 Zn 0.0000 0.0000 0.0000 1
W1 W 0.0000 0.0000 0.5000 1
N1 N 0.0000 0.0000 0.1027 1
```



# 6
Compound: ZnW2N
Source: Alexandria
Functional: PBE
Structure: relaxed

Properties
Formation energy without anion corrections   0.84 eV/atom
Relative energy among the computed polymorphs   0 meV per atom
Mass density   10.92 g/cm3
E_tot   -8.033 eV per atom

```
data_ZnW2N
_chemical_formula_sum 'Zn4 W8 N4'
_symmetry_space_group_name_H-M 'I -4 2 d'
_symmetry_Int_Tables_number 122
_symmetry_space_group_name_Hall 'I -4 2bw'
_cell_length_a 4.8640
_cell_length_b 4.8640
_cell_length_c 11.4996
_cell_angle_alpha 90.00
_cell_angle_beta 90.00
_cell_angle_gamma 90.00
loop_
_atom_site_label
_atom_site_type_symbol
_atom_site_fract_x
_atom_site_fract_y
_atom_site_fract_z
_atom_site_occupancy
Zn1 Zn 0.0000 0.0000 0.0000 1
W1 W 0.1270 0.2500 0.6250 1
N1 N 0.0000 0.0000 0.5000 1
```



# 7
Compound: Zn3WN
Source: Alexandria
Functional: PBE
Structure: relaxed

Properties
Formation energy without anion corrections   2.36 eV/atom
Relative energy among the computed polymorphs   1362 meV per atom
Mass density   5.47 g/cm3
E_tot   -2.663 eV per atom

```
data_Zn3WN
_chemical_formula_sum 'Zn3 W1 N1'
_symmetry_space_group_name_H-M 'P m -3 m'
_symmetry_Int_Tables_number 221
_symmetry_space_group_name_Hall '-P 4 2 3'
_cell_length_a 4.9262
_cell_length_b 4.9262
_cell_length_c 4.9262
_cell_angle_alpha 90.00
_cell_angle_beta 90.00
_cell_angle_gamma 90.00
loop_
_atom_site_label
_atom_site_type_symbol
_atom_site_fract_x
_atom_site_fract_y
_atom_site_fract_z
_atom_site_occupancy
Zn1 Zn 0.0000 0.0000 0.5000 1
W1 W 0.0000 0.0000 0.0000 1
N1 N 0.5000 0.5000 0.5000 1
```



# 8
Compound: ZnW2N
Source: Alexandria
Functional: PBE
Structure: relaxed

Properties
Formation energy without anion corrections   1.16 eV/atom
Relative energy among the computed polymorphs   318 meV per atom
Mass density   14.47 g/cm3
E_tot   -7.715 eV per atom

```
data_ZnW2N
_chemical_formula_sum 'Zn4 W8 N4'
_symmetry_space_group_name_H-M 'F m -3 m'
_symmetry_Int_Tables_number 225
_symmetry_space_group_name_Hall '-F 4 2 3'
_cell_length_a 5.8983
_cell_length_b 5.8983
_cell_length_c 5.8983
_cell_angle_alpha 90.00
_cell_angle_beta 90.00
_cell_angle_gamma 90.00
loop_
_atom_site_label
_atom_site_type_symbol
_atom_site_fract_x
_atom_site_fract_y
_atom_site_fract_z
_atom_site_occupancy
Zn1 Zn 0.0000 0.0000 0.0000 1
W1 W 0.2500 0.2500 0.2500 1
N1 N 0.0000 0.0000 0.5000 1
```



# 9
Compound: ZnWN
Source: Alexandria
Functional: PBE
Structure: relaxed

Properties
Formation energy without anion corrections   0.14 eV/atom
Mass density   10.36 g/cm3
E_tot   -7.377 eV per atom

```
data_ZnWN
_chemical_formula_sum 'Zn4 W4 N4'
_symmetry_space_group_name_H-M 'P 42/m'
_symmetry_Int_Tables_number 84
_symmetry_space_group_name_Hall '-P 4c'
_cell_length_a 7.3673
_cell_length_b 7.3673
_cell_length_c 3.1106
_cell_angle_alpha 90.00
_cell_angle_beta 90.00
_cell_angle_gamma 90.00
loop_
_atom_site_label
_atom_site_type_symbol
_atom_site_fract_x
_atom_site_fract_y
_atom_site_fract_z
_atom_site_occupancy
Zn1 Zn 0.0286 0.7738 0.0000 1
W1 W 0.3321 0.6646 0.5000 1
N1 N 0.1937 0.4305 0.5000 1
```



# 10
Compound: ZnW3N
Source: Alexandria
Functional: PBE
Structure: relaxed

Properties
Formation energy without anion corrections   0.17 eV/atom
Relative energy among the computed polymorphs   0 meV per atom
Mass density   14.97 g/cm3
E_tot   -9.518 eV per atom

```
data_ZnW3N
_chemical_formula_sum 'Zn1 W3 N1'
_symmetry_space_group_name_H-M 'P m -3 m'
_symmetry_Int_Tables_number 221
_symmetry_space_group_name_Hall '-P 4 2 3'
_cell_length_a 4.1211
_cell_length_b 4.1211
_cell_length_c 4.1211
_cell_angle_alpha 90.00
_cell_angle_beta 90.00
_cell_angle_gamma 90.00
loop_
_atom_site_label
_atom_site_type_symbol
_atom_site_fract_x
_atom_site_fract_y
_atom_site_fract_z
_atom_site_occupancy
Zn1 Zn 0.0000 0.0000 0.0000 1
W1 W 0.0000 0.5000 0.5000 1
N1 N 0.5000 0.5000 0.5000 1
```



# 11
Compound: Zn2WN
Source: Alexandria
Functional: PBE
Structure: relaxed

Properties
Formation energy without anion corrections   0.55 eV/atom
Mass density   10.03 g/cm3
E_tot   -5.403 eV per atom

```
data_Zn2WN
_chemical_formula_sum 'Zn8 W4 N4'
_symmetry_space_group_name_H-M 'I -4 2 d'
_symmetry_Int_Tables_number 122
_symmetry_space_group_name_Hall 'I -4 2bw'
_cell_length_a 7.2849
_cell_length_b 7.2849
_cell_length_c 4.1012
_cell_angle_alpha 90.00
_cell_angle_beta 90.00
_cell_angle_gamma 90.00
loop_
_atom_site_label
_atom_site_type_symbol
_atom_site_fract_x
_atom_site_fract_y
_atom_site_fract_z
_atom_site_occupancy
Zn1 Zn 0.1666 0.7500 0.1250 1
W1 W 0.0000 0.0000 0.5000 1
N1 N 0.0000 0.0000 0.0000 1
```



# 12
Compound: Zn3WN
Source: Alexandria
Functional: PBE
Structure: relaxed

Properties
Formation energy without anion corrections   0.99 eV/atom
Relative energy among the computed polymorphs   0 meV per atom
Mass density   9.36 g/cm3
E_tot   -4.026 eV per atom

```
data_Zn3WN
_chemical_formula_sum 'Zn3 W1 N1'
_symmetry_space_group_name_H-M 'P m -3 m'
_symmetry_Int_Tables_number 221
_symmetry_space_group_name_Hall '-P 4 2 3'
_cell_length_a 4.1192
_cell_length_b 4.1192
_cell_length_c 4.1192
_cell_angle_alpha 90.00
_cell_angle_beta 90.00
_cell_angle_gamma 90.00
loop_
_atom_site_label
_atom_site_type_symbol
_atom_site_fract_x
_atom_site_fract_y
_atom_site_fract_z
_atom_site_occupancy
Zn1 Zn 0.0000 0.0000 0.5000 1
W1 W 0.5000 0.5000 0.5000 1
N1 N 0.0000 0.0000 0.0000 1
```